{"formula": "Zn2TePb", "functional": "GGA-PBEsol", "state": "optimized geometry", "volume_a3_per_cell": 93.3, "n_ef_per_ev_cell": 1.69, "e_form_raw_mev_per_atom": 151, "cell": [[-1.0401, -1.4849, 3.6588], [-3.4246, -1.3763, -1.5321], [2.5621, -4.9500, -1.2805]], "species": ["Pb", "Te", "Zn", "Zn"], "fractional_positions": [[0.5000, 0.5000, 0.0000], [0.0000, 0.5000, 0.5000], [0.0000, 0.0000, 0.0000], [0.5000, 0.0000, 0.5000]]}

=====

{"formula": "ZnTePb2", "functional": "GGA-PBEsol", "state": "optimized geometry", "volume_a3_per_cell": 106.7, "n_ef_per_ev_cell": 1.51, "e_form_raw_mev_per_atom": 70, "cell": [[-3.4076, -2.0464, -1.2495], [-0.9805, -1.5004, 5.1313], [-0.3806, 5.6661, -1.2947]], "species": ["Pb", "Pb", "Te", "Zn"], "fractional_positions": [[0.7251, 0.7251, 0.4503], [0.2749, 0.2749, 0.5497], [0.5000, 0.0000, 0.0000], [0.0000, 0.5000, 0.0000]]}

=====

{"formula": "ZnTe2Pb", "functional": "GGA-PBEsol", "state": "optimized geometry", "volume_a3_per_cell": 110.0, "n_ef_per_ev_cell": 0.97, "e_form_raw_mev_per_atom": -233, "polymorph_energy_ev_per_atom": 0.000, "cell": [[4.2285, 0.0000, 0.0000], [2.1143, 3.6620, 0.0000], [2.1143, 1.2207, 7.1065]], "species": ["Pb", "Te", "Te", "Zn"], "fractional_positions": [[0.0000, 0.0000, 0.0000], [0.2372, 0.2372, 0.2884], [0.7628, 0.7628, 0.7116], [0.5000, 0.5000, 0.5000]]}